Here is a relaxed structure of Ac3TlGe from the Alexandria database. Energies are from GGA-PBE.

CIF file:
```
data_Ac3TlGe
_chemical_formula_sum 'Ac6 Tl2 Ge2'
_cell_length_a 4.9789
_cell_length_b 7.7725
_cell_length_c 9.8291
_cell_angle_alpha 90.00
_cell_angle_beta 90.00
_cell_angle_gamma 90.00
_space_group_name_H-M_alt 'P 1'
_space_group_IT_number 1
_space_group_name_Hall 'P 1'
loop_
_atom_site_label
_atom_site_type_symbol
_atom_site_fract_x
_atom_site_fract_y
_atom_site_fract_z
_atom_site_occupancy
Ac1 Ac 0.2500 0.0097 0.1658 1
Ac2 Ac 0.2500 0.2500 0.5683 1
Ac3 Ac 0.2500 0.4903 0.1658 1
Ac4 Ac 0.7500 0.5097 0.8342 1
Ac5 Ac 0.7500 0.7500 0.4317 1
Ac6 Ac 0.7500 0.9903 0.8342 1
Tl1 Tl 0.2500 0.7500 0.6619 1
Tl2 Tl 0.7500 0.2500 0.3381 1
Ge1 Ge 0.2500 0.2500 0.8940 1
Ge2 Ge 0.7500 0.7500 0.1060 1
```

Values from the calculation:
E	-42.90	eV per cell
DFT formation energy	-0.429	eV per atom
energy relative to the lowest polymorph listed for this composition	15	meV/atom
Fermi-level density of states	0.676	states/eV per atom
SG	Pmmn, No. 59